# 1
A plane-wave DFT calculation with meta-GGA SCAN was carried out for Mn2CuSi at its PBEsol-relaxed geometry.

Computed properties:
Uncorrected energy = -15.6708 eV per atom
Formation energy without anion corrections = -0.24 eV per atom

a b c (Å): 2.603 3.460 5.102
angles (deg): 90.00 90.07 90.00
Atoms (fractional coordinates):
Mn1 0.999 0.000 0.244
Mn2 0.001 0.000 0.756
Si1 0.500 0.500 0.000
Cu1 0.500 0.500 0.500



# 2
A plane-wave DFT calculation with meta-GGA SCAN was carried out for Mn2CuSi at its PBEsol-relaxed geometry.

Computed properties:
Uncorrected energy = -15.5487 eV per atom
Formation energy without anion corrections = -0.12 eV per atom

a b c (Å): 2.616 3.371 5.068
angles (deg): 90.00 90.00 90.00
Atoms (fractional coordinates):
Mn1 0.500 0.500 0.239
Mn2 0.000 0.000 0.014
Si1 0.000 0.000 0.502
Cu1 0.500 0.500 0.745